# 1
# K2CeHoO4, optimized geometry, DFT PBE
# - SG = P2/m (10)
# - electronic total energy (eV/atom) = -6.739
# - energy relative to the elements, uncorrected (eV/atom) = -2.672
data_K2CeHoO4
_chemical_formula_sum 'K2 Ce1 Ho1 O4'
_cell_length_a 3.556
_cell_length_b 6.169
_cell_length_c 6.600
_cell_angle_alpha 108.05
_cell_angle_beta 90.00
_cell_angle_gamma 90.00
_symmetry_space_group_name_H-M 'P 1'
_symmetry_Int_Tables_number 1
loop_
_symmetry_equiv_pos_as_xyz
'x,y,z'
loop_
_atom_site_label
_atom_site_fract_x
_atom_site_fract_y
_atom_site_fract_z
O1 0.000 0.261 0.812
K1 0.500 0.000 0.500
K2 0.000 0.500 0.500
O2 0.000 0.739 0.188
Ce1 0.500 0.500 0.000
O3 0.500 0.220 0.185
Ho1 0.000 0.000 0.000
O4 0.500 0.780 0.815



# 2
# K2CeHoS4, optimized geometry, DFT PBE
# - SG = P2/m (10)
# - electronic total energy (eV/atom) = -5.484
# - energy relative to the elements, uncorrected (eV/atom) = -1.832
data_K2CeHoS4
_chemical_formula_sum 'K2 Ce1 Ho1 S4'
_cell_length_a 4.128
_cell_length_b 7.152
_cell_length_c 7.738
_cell_angle_alpha 107.88
_cell_angle_beta 90.00
_cell_angle_gamma 90.00
_symmetry_space_group_name_H-M 'P 1'
_symmetry_Int_Tables_number 1
loop_
_symmetry_equiv_pos_as_xyz
'x,y,z'
loop_
_atom_site_label
_atom_site_fract_x
_atom_site_fract_y
_atom_site_fract_z
S1 0.500 0.756 0.795
Ce1 0.000 0.000 0.000
Ho1 0.500 0.500 0.000
S2 0.000 0.274 0.798
S3 0.000 0.726 0.202
K1 0.500 0.000 0.500
K2 0.000 0.500 0.500
S4 0.500 0.244 0.205



# 3
# K3CeHo2S6, optimized geometry, DFT PBE
# - SG = C2/m (12)
# - electronic total energy (eV/atom) = -5.446
# - energy relative to the elements, uncorrected (eV/atom) = -1.851
data_K3CeHo2S6
_chemical_formula_sum 'K3 Ce1 Ho2 S6'
_cell_length_a 7.101
_cell_length_b 7.101
_cell_length_c 7.735
_cell_angle_alpha 98.80
_cell_angle_beta 98.80
_cell_angle_gamma 120.00
_symmetry_space_group_name_H-M 'P 1'
_symmetry_Int_Tables_number 1
loop_
_symmetry_equiv_pos_as_xyz
'x,y,z'
loop_
_atom_site_label
_atom_site_fract_x
_atom_site_fract_y
_atom_site_fract_z
S1 0.067 0.410 0.202
S2 0.725 0.725 0.202
Ce1 0.000 0.000 0.000
S3 0.933 0.590 0.798
K1 0.500 0.500 0.500
Ho1 0.333 0.667 0.000
S4 0.590 0.933 0.798
Ho2 0.667 0.333 0.000
K2 0.166 0.834 0.500
S5 0.410 0.067 0.202
S6 0.275 0.275 0.798
K3 0.834 0.166 0.500



# 4
# K3Ce2HoS6, optimized geometry, DFT PBE
# - SG = C2/m (12)
# - electronic total energy (eV/atom) = -5.526
# - energy relative to the elements, uncorrected (eV/atom) = -1.817
data_K3Ce2HoS6
_chemical_formula_sum 'K3 Ce2 Ho1 S6'
_cell_length_a 7.204
_cell_length_b 7.204
_cell_length_c 7.741
_cell_angle_alpha 98.93
_cell_angle_beta 98.93
_cell_angle_gamma 120.00
_symmetry_space_group_name_H-M 'P 1'
_symmetry_Int_Tables_number 1
loop_
_symmetry_equiv_pos_as_xyz
'x,y,z'
loop_
_atom_site_label
_atom_site_fract_x
_atom_site_fract_y
_atom_site_fract_z
S1 0.068 0.392 0.204
Ho1 0.000 0.000 0.000
Ce1 0.667 0.333 0.000
K1 0.500 0.500 0.500
K2 0.833 0.167 0.500
Ce2 0.333 0.667 0.000
S2 0.256 0.256 0.796
S3 0.392 0.068 0.204
K3 0.167 0.833 0.500
S4 0.608 0.932 0.796
S5 0.744 0.744 0.204
S6 0.932 0.608 0.796



# 5
# K4CeHo3S8, optimized geometry, DFT PBE
# - SG = R-3m (166)
# - electronic total energy (eV/atom) = -5.426
# - energy relative to the elements, uncorrected (eV/atom) = -1.858
data_K4CeHo3S8
_chemical_formula_sum 'K4 Ce1 Ho3 S8'
_cell_length_a 8.166
_cell_length_b 8.743
_cell_length_c 8.166
_cell_angle_alpha 117.85
_cell_angle_beta 120.00
_cell_angle_gamma 90.00
_symmetry_space_group_name_H-M 'P 1'
_symmetry_Int_Tables_number 1
loop_
_symmetry_equiv_pos_as_xyz
'x,y,z'
loop_
_atom_site_label
_atom_site_fract_x
_atom_site_fract_y
_atom_site_fract_z
Ho1 0.000 0.500 0.500
K1 0.500 0.000 0.000
S1 0.239 0.703 0.964
S2 0.761 0.297 0.523
S3 0.239 0.703 0.477
Ce1 0.000 0.500 0.000
K2 0.500 0.000 0.500
S4 0.733 0.700 0.467
K3 0.000 0.000 0.500
Ho2 0.500 0.500 0.500
K4 0.000 0.000 0.000
S5 0.726 0.703 0.964
S6 0.274 0.297 0.036
Ho3 0.500 0.500 0.000
S7 0.761 0.297 0.036
S8 0.267 0.300 0.533



# 6
# KCe2HoS4, optimized geometry, DFT PBE
# - SG = P2/m (10)
# - electronic total energy (eV/atom) = -6.085
# - energy relative to the elements, uncorrected (eV/atom) = -1.829
data_KCe2HoS4
_chemical_formula_sum 'K1 Ce2 Ho1 S4'
_cell_length_a 4.040
_cell_length_b 7.083
_cell_length_c 7.127
_cell_angle_alpha 71.14
_cell_angle_beta 90.00
_cell_angle_gamma 90.00
_symmetry_space_group_name_H-M 'P 1'
_symmetry_Int_Tables_number 1
loop_
_symmetry_equiv_pos_as_xyz
'x,y,z'
loop_
_atom_site_label
_atom_site_fract_x
_atom_site_fract_y
_atom_site_fract_z
Ce1 0.500 0.000 0.500
S1 0.000 0.242 0.271
Ce2 0.000 0.000 0.000
S2 0.500 0.256 0.734
K1 0.500 0.500 0.000
S3 0.000 0.758 0.729
Ho1 0.000 0.500 0.500
S4 0.500 0.744 0.266



# 7
# K3CeHo3S8, optimized geometry, DFT PBE
# - SG = R-3m (166)
# - electronic total energy (eV/atom) = -5.599
# - energy relative to the elements, uncorrected (eV/atom) = -1.867
data_K3CeHo3S8
_chemical_formula_sum 'K3 Ce1 Ho3 S8'
_cell_length_a 8.050
_cell_length_b 8.052
_cell_length_c 8.799
_cell_angle_alpha 117.24
_cell_angle_beta 90.00
_cell_angle_gamma 119.99
_symmetry_space_group_name_H-M 'P 1'
_symmetry_Int_Tables_number 1
loop_
_symmetry_equiv_pos_as_xyz
'x,y,z'
loop_
_atom_site_label
_atom_site_fract_x
_atom_site_fract_y
_atom_site_fract_z
Ho1 0.500 0.500 0.500
S1 0.768 0.036 0.304
K1 0.000 0.000 0.000
Ho2 0.500 0.000 0.500
S2 0.733 0.466 0.699
S3 0.232 0.463 0.696
S4 0.232 0.964 0.696
Ce1 0.000 0.000 0.500
S5 0.768 0.537 0.304
K2 0.500 0.500 0.000
S6 0.267 0.534 0.301
S7 0.267 0.036 0.304
Ho3 0.000 0.500 0.500
K3 0.000 0.500 0.000
S8 0.733 0.964 0.696



# 8
# K4Ce3HoS8, optimized geometry, DFT PBE
# - SG = R-3m (166)
# - electronic total energy (eV/atom) = -5.546
# - energy relative to the elements, uncorrected (eV/atom) = -1.809
data_K4Ce3HoS8
_chemical_formula_sum 'K4 Ce3 Ho1 S8'
_cell_length_a 8.343
_cell_length_b 12.128
_cell_length_c 8.342
_cell_angle_alpha 133.48
_cell_angle_beta 120.00
_cell_angle_gamma 90.00
_symmetry_space_group_name_H-M 'P 1'
_symmetry_Int_Tables_number 1
loop_
_symmetry_equiv_pos_as_xyz
'x,y,z'
loop_
_atom_site_label
_atom_site_fract_x
_atom_site_fract_y
_atom_site_fract_z
S1 0.973 0.704 0.947
Ce1 0.500 0.500 0.500
Ce2 0.000 0.500 0.500
K1 0.500 0.000 0.000
Ce3 0.500 0.500 0.000
K2 0.000 0.000 0.500
S2 0.973 0.704 0.434
S3 0.027 0.296 0.566
S4 0.472 0.707 0.943
S5 0.539 0.296 0.566
Ho1 0.000 0.500 0.000
S6 0.461 0.704 0.434
S7 0.528 0.293 0.057
K3 0.000 0.000 0.000
S8 0.027 0.296 0.053
K4 0.500 0.000 0.500



# 9
# K3CeHo3Se8, optimized geometry, DFT PBE
# - SG = R-3m (166)
# - electronic total energy (eV/atom) = -5.123
# - energy relative to the elements, uncorrected (eV/atom) = -1.734
data_K3CeHo3Se8
_chemical_formula_sum 'K3 Ce1 Ho3 Se8'
_cell_length_a 8.355
_cell_length_b 8.357
_cell_length_c 9.169
_cell_angle_alpha 117.12
_cell_angle_beta 90.00
_cell_angle_gamma 119.99
_symmetry_space_group_name_H-M 'P 1'
_symmetry_Int_Tables_number 1
loop_
_symmetry_equiv_pos_as_xyz
'x,y,z'
loop_
_atom_site_label
_atom_site_fract_x
_atom_site_fract_y
_atom_site_fract_z
Ce1 0.000 0.000 0.500
Se1 0.266 0.531 0.297
K1 0.000 0.000 0.000
Se2 0.234 0.468 0.701
Ho1 0.000 0.500 0.500
Se3 0.267 0.033 0.299
Se4 0.734 0.469 0.703
Ho2 0.500 0.500 0.500
Se5 0.766 0.033 0.299
K2 0.500 0.500 0.000
Se6 0.733 0.967 0.701
Ho3 0.500 0.000 0.500
Se7 0.766 0.532 0.299
K3 0.000 0.500 0.000
Se8 0.234 0.967 0.701



# 10
# K4Ce3HoSe8, optimized geometry, DFT PBE
# - SG = R-3m (166)
# - electronic total energy (eV/atom) = -5.118
# - energy relative to the elements, uncorrected (eV/atom) = -1.702
data_K4Ce3HoSe8
_chemical_formula_sum 'K4 Ce3 Ho1 Se8'
_cell_length_a 8.673
_cell_length_b 9.162
_cell_length_c 8.672
_cell_angle_alpha 118.25
_cell_angle_beta 120.00
_cell_angle_gamma 90.00
_symmetry_space_group_name_H-M 'P 1'
_symmetry_Int_Tables_number 1
loop_
_symmetry_equiv_pos_as_xyz
'x,y,z'
loop_
_atom_site_label
_atom_site_fract_x
_atom_site_fract_y
_atom_site_fract_z
Se1 0.256 0.293 0.024
Ce1 0.500 0.500 0.500
K1 0.500 0.000 0.000
Ce2 0.000 0.500 0.500
Se2 0.768 0.293 0.537
Se3 0.232 0.707 0.976
K2 0.000 0.000 0.000
Ce3 0.500 0.500 0.000
Se4 0.744 0.707 0.976
Ho1 0.000 0.500 0.000
Se5 0.263 0.289 0.526
K3 0.000 0.000 0.500
Se6 0.768 0.293 0.024
Se7 0.737 0.711 0.474
Se8 0.232 0.707 0.463
K4 0.500 0.000 0.500



Calculated magnetization in order - 1.004 1.010 1.017 2.013 1.005 2.413 0.000 3.015 0.000 3.008 Bohr magnetons per cell